Below is a relaxed structure of HgWSe2N, with properties calculated at the GGA-PBE level.

## Properties
The uncorrected energy is -3.67 eV per atom. The calculation puts the calculated volume at 22.04 Å³ per atom. For the total magnetization, the calculation gives 3.60 μB per formula unit.

Structure (CIF):
```
data_HgWSe2N
_cell_length_a 5.293
_cell_length_b 5.293
_cell_length_c 3.933
_cell_angle_alpha 90.00
_cell_angle_beta 90.00
_cell_angle_gamma 90.00
_symmetry_space_group_name_H-M 'P 4/m m m'
_symmetry_Int_Tables_number 123
_symmetry_space_group_name_Hall '-P 4 2'
loop_
_atom_site_label
_atom_site_fract_x
_atom_site_fract_y
_atom_site_fract_z
Hg1 0.000 0.000 0.000
W1 0.500 0.500 0.500
Se1 0.000 0.500 0.000
N1 0.000 0.000 0.500
```